Density functional theory data (PBE) for a relaxed structure of Sm3Ag.

Lattice parameters (Å, degrees): 7.0409 7.0409 5.3815 90.00 90.00 120.00
Fractional coordinates of all 8 atoms:
Sm: 0.8253 0.6507 0.7500
Sm: 0.8253 0.1747 0.7500
Sm: 0.6507 0.8253 0.2500
Sm: 0.1747 0.3493 0.2500
Sm: 0.1747 0.8253 0.2500
Sm: 0.3493 0.1747 0.7500
Ag: 0.6667 0.3333 0.2500
Ag: 0.3333 0.6667 0.7500

Output
The calculation puts the total energy at -0.3108 Ry/atom. Its energy of formation from the pure elements is 24 meV per atom. Its density of states at the Fermi level is 1.50 states/eV/atom. The total moment comes out at 0.006 Bohr magnetons per cell. As for the space group: P6_3/mmc, No. 194.

=====

Density functional theory data (PBE) for a relaxed structure of Ca2WCl.

Lattice parameters (Å, degrees): 3.2130 3.2130 8.7504 90.00 90.00 98.41
Fractional coordinates of all 4 atoms:
Ca: 0.0000 0.0000 0.0042
Ca: 0.0000 0.0000 0.4958
Cl: 0.5000 0.5000 0.2500
W: 0.5000 0.5000 0.7500

Output
The calculation puts the total energy at -0.3569 Ry/atom. Its density of states at the Fermi level is 0.56 states/eV/atom. The value obtained for the uncorrected formation energy is -0.155 eV/atom. The total moment comes out at 0.000 Bohr magnetons per cell. As for the space group: Cmmm, No. 65.

=====

Density functional theory data (PBE) for a relaxed structure of Tm4TlHg7.

Lattice parameters (Å, degrees): 5.4208 9.7076 6.8854 80.56 66.82 73.79
Fractional coordinates of all 12 atoms:
Tm: 0.4157 0.7741 0.3945
Tm: 0.5843 0.2259 0.6055
Tm: 0.7379 0.6749 0.8492
Tm: 0.2621 0.3251 0.1508
Hg: 0.7933 0.9131 0.5004
Hg: 0.5000 0.0000 0.0000
Hg: 0.6421 0.4614 0.2544
Hg: 0.0628 0.6486 0.2259
Hg: 0.9372 0.3514 0.7741
Hg: 0.2067 0.0869 0.4996
Hg: 0.3579 0.5386 0.7456
Tl: 0.0000 0.0000 0.0000

Output
The calculation puts the total energy at -0.1529 Ry/atom. Its energy of formation from the pure elements is -216 meV per atom. Its density of states at the Fermi level is 0.45 states/eV/atom. The total moment comes out at 0.000 Bohr magnetons per cell. As for the space group: C2/m, No. 12.

=====

Density functional theory data (PBE) for a relaxed structure of Cu2RuCl6.

Lattice parameters (Å, degrees): 6.2619 8.6922 8.6922 78.06 84.68 84.68
Fractional coordinates of all 18 atoms:
Ru: 0.2500 0.0824 0.9176
Ru: 0.7500 0.9176 0.0824
Cl: 0.6357 0.2793 0.4650
Cl: 0.5944 0.9748 0.8334
Cl: 0.1357 0.4650 0.2793
Cl: 0.9056 0.1666 0.0252
Cl: 0.8643 0.5350 0.7207
Cl: 0.6327 0.6628 0.1236
Cl: 0.4056 0.0252 0.1666
Cl: 0.8673 0.8764 0.3372
Cl: 0.0944 0.8334 0.9748
Cl: 0.1327 0.1236 0.6628
Cl: 0.3673 0.3372 0.8764
Cl: 0.3643 0.7207 0.5350
Cu: 0.7206 0.6973 0.5246
Cu: 0.7794 0.4754 0.3027
Cu: 0.2206 0.5246 0.6973
Cu: 0.2794 0.3027 0.4754

Output
The calculation puts the total energy at -0.2691 Ry/atom. Its density of states at the Fermi level is 0.90 states/eV/atom. The value obtained for the uncorrected formation energy is -0.489 eV/atom. The total moment comes out at 3.284 Bohr magnetons per cell. As for the space group: C2/c, No. 15.

=====

Density functional theory data (PBE) for a relaxed structure of LaTaNi.

Lattice parameters (Å, degrees): 4.5480 4.5480 4.5480 60.00 60.00 60.00
Fractional coordinates of all 3 atoms:
Ni: 0.0000 0.0000 0.0000
Ta: 0.5000 0.5000 0.5000
La: 0.2500 0.2500 0.2500

Output
The calculation puts the total energy at -0.4530 Ry/atom. Its energy of formation from the pure elements is 1357 meV per atom. Its density of states at the Fermi level is 1.09 states/eV/atom. The total moment comes out at 0.194 Bohr magnetons per cell. As for the space group: F-43m, No. 216.

=====

Density functional theory data (PBE) for a relaxed structure of TbNdErTl.

Lattice parameters (Å, degrees): 4.9477 4.8406 4.8947 90.00 90.00 90.00
Fractional coordinates of all 4 atoms:
Tl: 0.5000 0.0000 0.5000
Nd: 0.0000 0.0000 0.0000
Tb: 0.0000 0.5000 0.5000
Er: 0.5000 0.5000 0.0000

Output
The calculation puts the total energy at -0.3100 Ry/atom. Its energy of formation from the pure elements is -136 meV per atom. Its density of states at the Fermi level is 1.48 states/eV/atom. The total moment comes out at 0.263 Bohr magnetons per cell. As for the space group: Pmmm, No. 47.